1.
K2YAsS4: optimized geometry, PBE-GGA.

Computed properties:
Formation energy without anion corrections in eV/f.u.: -9.24
Volume in Å³/atom: 24.65
Crystal system: orthorhombic

Cell: 8.2323 8.2323 8.2852 Å, 120.21 120.21 90.00°
Last column: nearest neighbours and their distance in Å.
Sites, in units of the cell vectors:
1 As 0.0000 0.0000 0.0000  6 S 2.68-2.69
2 S 0.2444 0.7031 0.4738  1 As 2.68, 2 Y 2.77
3 S 0.2372 0.2627 0.4609  2 As 2.69, 1 Y 2.78
4 K 0.5000 0.0000 0.5000  6 S 3.07-3.08
5 K 0.0000 0.0000 0.5000  6 S 3.15-3.16
6 S 0.7628 0.7373 0.5391  2 As 2.69, 1 Y 2.78
7 S 0.7556 0.2969 0.5262  1 As 2.68, 2 Y 2.77
8 S 0.7627 0.7372 0.9610  2 As 2.69, 1 Y 2.78
9 S 0.7969 0.2556 0.0262  1 As 2.68, 2 Y 2.77
10 S 0.2373 0.2628 0.0391  2 As 2.69, 1 Y 2.78
11 K 0.5000 0.5000 0.0000  6 S 3.15-3.16
12 Y 0.0000 0.5000 0.5000  6 S 2.77-2.78
13 S 0.2031 0.7444 0.9738  1 As 2.68, 2 Y 2.77
14 K 0.5000 0.0000 0.0000  6 S 3.07-3.08
15 As 0.5000 0.5000 0.5000  6 S 2.68-2.69
16 Y 0.0000 0.5000 0.0000  6 S 2.77-2.78

---

2.
Nd5HoTm12: optimized geometry, PBE-GGA.

Computed properties:
N(E_F) in states/eV/cell: 22.872
Volume in Å³/atom: 31.38
Energy of formation from the pure elements in eV/atom: 0.02
Crystal system: monoclinic

Cell: 10.6066 10.6165 6.1331 Å, 106.57 90.00 60.03°
Last column: nearest neighbours and their distance in Å.
Sites, in units of the cell vectors:
1 Tm 0.0017 0.3316 0.9990  7 Tm 3.51-3.56, 4 Nd 3.53-3.56, 1 Ho 3.53
2 Tm 0.6668 0.3316 0.9991  7 Tm 3.51-3.56, 4 Nd 3.53-3.56, 1 Ho 3.53
3 Tm 0.3304 0.0000 0.0001  1 Ho 3.50, 7 Tm 3.51-3.60, 4 Nd 3.55-3.56
4 Ho 0.0000 0.0000 0.0000  10 Tm 3.50-3.54, 2 Nd 3.54
5 Tm 0.9984 0.6684 0.0010  7 Tm 3.51-3.56, 4 Nd 3.53-3.56, 1 Ho 3.53
6 Tm 0.3332 0.6684 0.0009  7 Tm 3.51-3.56, 4 Nd 3.53-3.56, 1 Ho 3.53
7 Tm 0.1646 0.3333 0.5008  5 Nd 3.51-3.56, 7 Tm 3.52-3.58
8 Nd 0.1658 0.6682 0.5013  10 Tm 3.51-3.56, 1 Ho 3.54, 1 Nd 3.56
9 Tm 0.8354 0.6667 0.4992  5 Nd 3.51-3.56, 7 Tm 3.52-3.58
10 Tm 0.1671 0.0000 0.5001  7 Tm 3.52-3.54, 3 Nd 3.53, 2 Ho 3.54
11 Nd 0.6666 0.6666 0.9989  10 Tm 3.53-3.56, 2 Nd 3.56
12 Tm 0.4978 0.6667 0.4992  5 Nd 3.51-3.56, 7 Tm 3.52-3.58
13 Tm 0.6696 0.0000 0.9999  1 Ho 3.50, 7 Tm 3.51-3.60, 4 Nd 3.55-3.56
14 Nd 0.3334 0.3334 0.0011  10 Tm 3.53-3.56, 2 Nd 3.56
15 Tm 0.8329 0.0000 0.4999  7 Tm 3.52-3.54, 3 Nd 3.53, 2 Ho 3.54
16 Nd 0.8342 0.3318 0.4987  10 Tm 3.51-3.56, 1 Ho 3.54, 1 Nd 3.56
17 Nd 0.5000 0.0000 0.5000  10 Tm 3.53-3.56, 2 Nd 3.56
18 Tm 0.5022 0.3333 0.5008  5 Nd 3.51-3.56, 7 Tm 3.52-3.58

---

3.
NaCa2SmTe4: optimized geometry, PBE-GGA.

Computed properties:
Formation energy without anion corrections in eV/f.u.: -11.68
Volume in Å³/atom: 32.58
Crystal system: monoclinic

Cell: 4.5251 7.8239 7.7753 Å, 108.75 90.00 90.00°
Last column: nearest neighbours and their distance in Å.
Sites, in units of the cell vectors:
1 Ca 0.5000 0.0000 0.5000  6 Te 3.17-3.18
2 Na 0.5000 0.5000 0.0000  6 Te 3.17-3.24
3 Te 0.0000 0.2427 0.7479  1 Sm 3.14, 3 Ca 3.18-3.20, 2 Na 3.24
4 Te 0.5000 0.2457 0.2462  3 Ca 3.17-3.23, 1 Na 3.17, 2 Sm 3.18
5 Te 0.5000 0.7543 0.7538  3 Ca 3.17-3.23, 1 Na 3.17, 2 Sm 3.18
6 Te 0.0000 0.7573 0.2521  1 Sm 3.14, 3 Ca 3.18-3.20, 2 Na 3.24
7 Sm 0.0000 0.0000 0.0000  6 Te 3.14-3.18
8 Ca 0.0000 0.5000 0.5000  6 Te 3.20-3.23

---

4.
AsP2Pb: optimized geometry, PBE-GGA.

Computed properties:
N(E_F) in states/eV/cell: 3.012
Volume in Å³/atom: 20.24
Energy of formation from the pure elements in eV/atom: 0.61
Crystal system: tetragonal
Excess energy over the best structure of this formula in the dataset in meV/atom: 413.6

Cell: 3.5549 4.7725 4.7725 Å, 90.00 90.00 90.00°
Last column: nearest neighbours and their distance in Å.
Sites, in units of the cell vectors:
1 Pb 0.5000 0.5000 0.0000  8 P 2.98
2 P 0.0000 0.0000 0.0000  4 Pb 2.98, 4 As 2.98
3 As 0.5000 0.0000 0.5000  8 P 2.98
4 P 0.0000 0.5000 0.5000  4 Pb 2.98, 4 As 2.98

---

5.
Zr4Re: optimized geometry, PBE-GGA.

Computed properties:
N(E_F) in states/eV/cell: 5.956
Volume in Å³/atom: 21.23
Energy of formation from the pure elements in eV/atom: -0.12
Crystal system: tetragonal
Excess energy over the best structure of this formula in the dataset in meV/atom: 0.0

Cell: 5.8714 5.8714 5.8714 Å, 94.67 94.67 146.83°
Last column: nearest neighbours and their distance in Å.
Sites, in units of the cell vectors:
1 Zr 0.7745 0.5864 0.3609  2 Re 2.84, 2 Zr 3.12
2 Zr 0.5864 0.2255 0.8118  2 Re 2.84, 2 Zr 3.12
3 Re 0.0000 0.0000 0.0000  8 Zr 2.84
4 Zr 0.4136 0.7745 0.1882  2 Re 2.84, 2 Zr 3.12
5 Zr 0.2255 0.4136 0.6391  2 Re 2.84, 2 Zr 3.12

---

6.
Pm4SmGe2: optimized geometry, PBE-GGA.

Computed properties:
N(E_F) in states/eV/cell: 14.357
Volume in Å³/atom: 28.93
Energy of formation from the pure elements in eV/atom: -0.46
Crystal system: tetragonal

Cell: 4.0766 9.9669 9.9669 Å, 90.00 90.00 90.00°
Last column: nearest neighbours and their distance in Å.
Sites, in units of the cell vectors:
1 Pm 0.0000 0.8943 0.6703  3 Ge 3.09-3.15, 1 Pm 3.16
2 Ge 0.5000 0.3385 0.3385  2 Sm 3.06, 6 Pm 3.09-3.15
3 Pm 0.5000 0.8297 0.3943  3 Ge 3.09-3.15, 1 Pm 3.16
4 Pm 0.5000 0.3943 0.8297  3 Ge 3.09-3.15, 1 Pm 3.16
5 Pm 0.5000 0.1703 0.6057  3 Ge 3.09-3.15, 1 Pm 3.16
6 Pm 0.0000 0.1057 0.3297  3 Ge 3.09-3.15, 1 Pm 3.16
7 Sm 0.5000 0.0000 0.0000  4 Ge 3.06
8 Ge 0.0000 0.1615 0.8385  2 Sm 3.06, 6 Pm 3.09-3.15
9 Pm 0.0000 0.3297 0.1057  3 Ge 3.09-3.15, 1 Pm 3.16
10 Pm 0.0000 0.6703 0.8943  3 Ge 3.09-3.15, 1 Pm 3.16
11 Ge 0.5000 0.6615 0.6615  2 Sm 3.06, 6 Pm 3.09-3.15
12 Sm 0.0000 0.5000 0.5000  4 Ge 3.06
13 Pm 0.5000 0.6057 0.1703  3 Ge 3.09-3.15, 1 Pm 3.16
14 Ge 0.0000 0.8385 0.1615  2 Sm 3.06, 6 Pm 3.09-3.15

---

7.
LaEu2Mg: optimized geometry, PBE-GGA.

Computed properties:
N(E_F) in states/eV/cell: 10.407
Volume in Å³/atom: 35.91
Energy of formation from the pure elements in eV/atom: 0.02
Crystal system: tetragonal
Excess energy over the best structure of this formula in the dataset in meV/atom: 0.0

Cell: 3.7991 3.7991 9.9533 Å, 90.00 90.00 90.00°
Last column: nearest neighbours and their distance in Å.
Sites, in units of the cell vectors:
1 Mg 0.5000 0.5000 0.0000  8 Eu 3.48, 4 Mg 3.80
2 Eu 0.0000 0.0000 0.7775  4 Mg 3.48, 4 Eu 3.80, 4 La 3.85
3 Eu 0.0000 0.0000 0.2225  4 Mg 3.48, 4 Eu 3.80, 4 La 3.85
4 La 0.5000 0.5000 0.5000  4 La 3.80, 8 Eu 3.85

---

8.
Rb2GaSn: optimized geometry, PBE-GGA.

Computed properties:
N(E_F) in states/eV/cell: 3.617
Volume in Å³/atom: 61.25
Energy of formation from the pure elements in eV/atom: 0.00
Crystal system: tetragonal
Excess energy over the best structure of this formula in the dataset in meV/atom: 155.3

Cell: 13.7928 13.7928 10.0874 Å, 46.87 46.87 90.00°
Last column: nearest neighbours and their distance in Å.
Sites, in units of the cell vectors:
1 Sn 0.7500 0.2500 0.5000  2 Ga 2.58
2 Rb 0.4019 0.1250 0.2500  2 Ga 3.53
3 Rb 0.3750 0.5981 0.7500  2 Ga 3.53
4 Ga 0.5000 0.5000 0.0000  2 Sn 2.58
5 Rb 0.3481 0.6250 0.2500  2 Ga 3.53
6 Ga 0.2500 0.7500 0.5000  2 Sn 2.58
7 Sn 0.0000 0.0000 0.0000  2 Ga 2.58
8 Rb 0.8750 0.6519 0.7500  2 Ga 3.53

---

9.
CsCu4Ge3I12: optimized geometry, PBE-GGA.

Computed properties:
N(E_F) in states/eV/cell: 16.323
Formation energy without anion corrections in eV/f.u.: -5.91
Volume in Å³/atom: 41.38
Crystal system: trigonal

Cell: 9.8503 9.8503 9.8503 Å, 105.43 105.43 105.43°
Last column: nearest neighbours and their distance in Å.
Sites, in units of the cell vectors:
1 I 0.9149 0.5000 0.0851  1 Cu 2.57
2 Cu 0.5000 0.9212 0.0788  3 I 2.50-2.57
3 I 0.6292 0.7424 0.0067  1 Cu 2.50
4 I 0.9933 0.2576 0.3708  1 Cu 2.50
5 Cu 0.0788 0.5000 0.9212  3 I 2.50-2.57
6 I 0.6622 0.5000 0.3378  1 Cu 2.54
7 Ge 0.4346 0.0000 0.5654  6 I 2.91-3.16
8 I 0.3708 0.9933 0.2576  1 Cu 2.50
9 I 0.2576 0.3708 0.9933  1 Cu 2.50
10 I 0.5000 0.3378 0.6622  1 Cu 2.54
11 I 0.0851 0.9149 0.5000  1 Cu 2.57
12 I 0.5000 0.0851 0.9149  1 Cu 2.57
13 Cs 0.0000 0.0000 0.0000  6 I 3.88
14 Ge 0.5654 0.4346 0.0000  6 I 2.91-3.16
15 Ge 0.0000 0.5654 0.4346  6 I 2.91-3.16
16 Cu 0.9212 0.0788 0.5000  3 I 2.50-2.57
17 Cu 0.5000 0.5000 0.5000  3 I 2.54
18 I 0.0067 0.6292 0.7424  1 Cu 2.50
19 I 0.7424 0.0067 0.6292  1 Cu 2.50
20 I 0.3378 0.6622 0.5000  1 Cu 2.54

---

10.
NaZnFeH6: optimized geometry, PBE-GGA.

Computed properties:
N(E_F) in states/eV/cell: 1.872
Volume in Å³/atom: 8.80
Crystal system: monoclinic
Raw total energy in eV/atom: -3.48

Cell: 4.5410 4.5413 4.6609 Å, 90.04 90.02 55.48°
Last column: nearest neighbours and their distance in Å.
Sites, in units of the cell vectors:
1 H 0.4479 0.0640 0.2685  1 Fe 1.55, 1 H 1.62
2 H 0.4455 0.0644 0.7310  1 Fe 1.55, 1 H 1.62
3 H 0.4896 0.4879 0.7451  1 Fe 1.59
4 Zn 0.6685 0.6685 0.5000  6 H 1.83-1.84
5 H 0.0643 0.4457 0.2689  1 Fe 1.55, 1 H 1.62
6 Na 0.9815 0.9815 0.0001  12 H 2.42-2.67
7 Fe 0.3506 0.3505 0.5000  6 H 1.55-1.59
8 H 0.0641 0.4481 0.7314  1 Fe 1.55, 1 H 1.62
9 H 0.4878 0.4893 0.2549  1 Fe 1.59

---

11.
Ce3Ni3Ru2: optimized geometry, PBE-GGA.

Computed properties:
N(E_F) in states/eV/cell: 6.385
Volume in Å³/atom: 18.89
Energy of formation from the pure elements in eV/atom: -0.27
Crystal system: monoclinic

Cell: 3.8187 5.0558 8.1292 Å, 97.74 103.58 90.00°
Last column: nearest neighbours and their distance in Å.
Sites, in units of the cell vectors:
1 Ru 0.7897 0.8673 0.5795  1 Ce 2.29
2 Ru 0.2103 0.1327 0.4205  1 Ce 2.29
3 Ni 0.5000 0.5000 0.0000  2 Ni 2.53
4 Ce 0.1579 0.5336 0.3158  1 Ru 2.29
5 Ni 0.6135 0.9054 0.2270  1 Ni 2.53, 3 Ru 2.61-2.82, 2 Ce 2.71
6 Ni 0.3865 0.0946 0.7730  1 Ni 2.53, 3 Ru 2.61-2.82, 2 Ce 2.71
7 Ce 0.0000 0.0000 0.0000  4 Ni 2.71
8 Ce 0.8421 0.4664 0.6842  1 Ru 2.29

---

12.
KGaC: optimized geometry, PBE-GGA.

Computed properties:
N(E_F) in states/eV/cell: 0.000
Volume in Å³/atom: 24.14
Energy of formation from the pure elements in eV/atom: 0.33
Crystal system: triclinic

Cell: 4.8046 5.2042 6.4577 Å, 102.31 96.31 110.40°
Last column: nearest neighbours and their distance in Å.
Sites, in units of the cell vectors:
1 C 0.0642 0.1120 0.5283  1 C 1.31
2 Ga 0.4535 0.4563 0.7910  2 C 2.29-2.38
3 K 0.8436 0.4839 0.3401  4 C 2.92-3.12
4 K 0.1606 0.9045 0.9906  1 C 3.01, 4 Ga 3.24-3.32
5 C 0.3008 0.0639 0.4776  1 C 1.31
6 Ga 0.6832 0.0464 0.6645  2 C 2.07-2.13